(1)
# Pr2AgHg2Pd5 | Alexandria | PBE | relaxed
# Energy   -4.272 eV per atom
# Formation energy from the elements   -0.3743 eV/atom
# Density of states at the Fermi level   10.60 states/eV/cell
data_Pr2AgHg2Pd5
_cell_length_a 10.206
_cell_length_b 10.206
_cell_length_c 3.997
_cell_angle_alpha 90.00
_cell_angle_beta 90.00
_cell_angle_gamma 90.00
_symmetry_space_group_name_H-M 'P 1'
_symmetry_Int_Tables_number 1
loop_
_symmetry_equiv_pos_as_xyz
'x,y,z'
loop_
_atom_site_label
_atom_site_type_symbol
_atom_site_fract_x
_atom_site_fract_y
_atom_site_fract_z
Pr1 Pr 0.172 0.328 0.000
Pr2 Pr 0.328 0.828 0.000
Pr3 Pr 0.672 0.172 0.000
Pr4 Pr 0.828 0.672 0.000
Ag1 Ag 0.000 0.000 0.000
Ag2 Ag 0.500 0.500 0.000
Hg1 Hg 0.127 0.627 0.000
Hg2 Hg 0.373 0.127 0.000
Hg3 Hg 0.627 0.873 0.000
Hg4 Hg 0.873 0.373 0.000
Pd1 Pd 0.000 0.500 0.500
Pd2 Pd 0.045 0.803 0.500
Pd3 Pd 0.197 0.045 0.500
Pd4 Pd 0.303 0.545 0.500
Pd5 Pd 0.455 0.303 0.500
Pd6 Pd 0.500 0.000 0.500
Pd7 Pd 0.545 0.697 0.500
Pd8 Pd 0.697 0.455 0.500
Pd9 Pd 0.803 0.955 0.500
Pd10 Pd 0.955 0.197 0.500

(2)
# KHg3Pt | Alexandria | PBE | relaxed
# Energy   -1.634 eV per atom
# Formation energy from the elements   -0.0254 eV/atom
# Density of states at the Fermi level   4.32 states/eV/cell
data_KHg3Pt
_cell_length_a 7.494
_cell_length_b 7.494
_cell_length_c 5.937
_cell_angle_alpha 90.00
_cell_angle_beta 90.00
_cell_angle_gamma 115.55
_symmetry_space_group_name_H-M 'P 1'
_symmetry_Int_Tables_number 1
loop_
_symmetry_equiv_pos_as_xyz
'x,y,z'
loop_
_atom_site_label
_atom_site_type_symbol
_atom_site_fract_x
_atom_site_fract_y
_atom_site_fract_z
K1 K 0.077 0.923 0.750
K2 K 0.923 0.077 0.250
Hg1 Hg 0.044 0.610 0.250
Hg2 Hg 0.390 0.956 0.250
Hg3 Hg 0.500 0.500 0.000
Hg4 Hg 0.500 0.500 0.500
Hg5 Hg 0.610 0.044 0.750
Hg6 Hg 0.956 0.390 0.750
Pt1 Pt 0.322 0.678 0.750
Pt2 Pt 0.678 0.322 0.250